Entry 1:
The following is a PBE-GGA calculation of a relaxed Ho2TmAu6 crystal, from Alexandria.

It has space group C2/m (No. 12), with a = 5.2291 Å, b = 16.0299 Å, c = 5.2139 Å, α = 90.00°, β = 119.55° and γ = 90.00°. The asymmetric unit holds Ho at (0.0000, 0.1651, 0.0000), Tm at (0.0000, 0.5000, 0.5000), Au at (0.1568, 0.0000, 0.8277) and Au at (0.1634, 0.3347, 0.3329).

Its density is 14.68 Mg/m³. For the formation energy, the calculation gives -0.81 eV/atom.

---

Entry 2:
The following is a PBE-GGA calculation of a relaxed HoTmAu crystal, from Alexandria.

It has space group I4mm (No. 107), with a = 3.5594 Å, b = 3.5594 Å, c = 12.1907 Å, α = 90.00°, β = 90.00° and γ = 90.00°. The asymmetric unit holds Ho at (0.0000, 0.0000, 0.0000), Tm at (0.0000, 0.0000, 0.2907) and Au at (0.0000, 0.0000, 0.6495).

Its density is 11.41 Mg/m³. For the formation energy, the calculation gives -0.55 eV/atom. The energy above the lowest structure with this stoichiometry is 110 meV per atom.

---

Entry 3:
The following is a PBE-GGA calculation of a relaxed HoTmAu crystal, from Alexandria.

It has space group P2_1/c (No. 14), with a = 6.9118 Å, b = 7.0442 Å, c = 6.7467 Å, α = 90.00°, β = 90.17° and γ = 90.00°. The asymmetric unit holds Ho at (0.1170, 0.0819, 0.2503), Tm at (0.4481, 0.7504, 0.9998) and Au at (0.2792, 0.0349, 0.7487).

Its density is 10.73 Mg/m³. For the formation energy, the calculation gives -0.56 eV/atom. The energy above the lowest structure with this stoichiometry is 95 meV per atom.

---

Entry 4:
The following is a PBE-GGA calculation of a relaxed HoTm2Au3 crystal, from Alexandria.

It has space group P4/mmm (No. 123), with a = 3.5414 Å, b = 3.5414 Å, c = 10.7970 Å, α = 90.00°, β = 90.00° and γ = 90.00°. The asymmetric unit holds Ho at (0.0000, 0.0000, 0.0000), Tm at (0.0000, 0.0000, 0.3344), Au at (0.5000, 0.5000, 0.1699) and Au at (0.5000, 0.5000, 0.5000).

Its density is 13.41 Mg/m³. For the formation energy, the calculation gives -0.89 eV/atom.

---

Entry 5:
The following is a PBE-GGA calculation of a relaxed Ho3TmAu crystal, from Alexandria.

It has space group P2_1/m (No. 11), with a = 6.6640 Å, b = 5.1592 Å, c = 8.2861 Å, α = 90.00°, β = 90.05° and γ = 90.00°. The asymmetric unit holds Ho at (0.2085, 0.2500, 0.0477), Ho at (0.2089, 0.2500, 0.4520), Ho at (0.2792, 0.7500, 0.7499), Tm at (0.4191, 0.7500, 0.2497) and Au at (0.0011, 0.2500, 0.7496).

Its density is 10.03 Mg/m³. For the formation energy, the calculation gives -0.28 eV/atom.

---

Entry 6:
The following is a PBE-GGA calculation of a relaxed Ho2Tm3Au2 crystal, from Alexandria.

It has space group C2/m (No. 12), with a = 12.5891 Å, b = 3.6570 Å, c = 9.0700 Å, α = 90.00°, β = 115.94° and γ = 90.00°. The asymmetric unit holds Ho at (0.1511, 0.0000, 0.3127), Tm at (0.0000, 0.5000, 0.5000), Tm at (0.1133, 0.5000, 0.9436) and Au at (0.1724, 0.0000, 0.7309).

Its density is 10.88 Mg/m³. For the formation energy, the calculation gives -0.52 eV/atom.

---

Entry 7:
The following is a PBE-GGA calculation of a relaxed HoTm3Au4 crystal, from Alexandria.

It has space group R-3m (No. 166, hexagonal axes), with a = 5.0296 Å, b = 5.0296 Å, c = 24.7535 Å, α = 90.00°, β = 90.00° and γ = 120.00°. The asymmetric unit holds Ho at (0.0000, 0.0000, 0.0000), Tm at (0.0000, 0.0000, 0.2498), Tm at (0.0000, 0.0000, 0.5000), Au at (0.0000, 0.0000, 0.1257) and Au at (0.0000, 0.0000, 0.3758).

Its density is 13.41 Mg/m³. For the formation energy, the calculation gives -0.89 eV/atom.

---

Entry 8:
The following is a PBE-GGA calculation of a relaxed HoTmAu crystal, from Alexandria.

It has space group Pnma (No. 62), with a = 7.0765 Å, b = 4.9100 Å, c = 8.8456 Å, α = 90.00°, β = 90.00° and γ = 90.00°. The asymmetric unit holds Ho at (0.0143, 0.2500, 0.1769), Tm at (0.1484, 0.2500, 0.5794) and Au at (0.2442, 0.2500, 0.9006).

Its density is 11.47 Mg/m³. For the formation energy, the calculation gives -0.66 eV/atom. The energy above the lowest structure with this stoichiometry is 0 meV per atom.

---

Entry 9:
The following is a PBE-GGA calculation of a relaxed Ho2TmAu2 crystal, from Alexandria.

It has space group P4/mbm (No. 127), with a = 8.1301 Å, b = 8.1301 Å, c = 3.7565 Å, α = 90.00°, β = 90.00° and γ = 90.00°. The asymmetric unit holds Ho at (0.1626, 0.3374, 0.0000), Tm at (0.0000, 0.0000, 0.5000) and Au at (0.1344, 0.6344, 0.5000).

Its density is 11.94 Mg/m³. For the formation energy, the calculation gives -0.71 eV/atom.

---

Entry 10:
The following is a PBE-GGA calculation of a relaxed Ho3Tm4Au4 crystal, from Alexandria.

It has space group Immm (No. 71), with a = 4.7794 Å, b = 7.6447 Å, c = 15.4682 Å, α = 90.00°, β = 90.00° and γ = 90.00°. The asymmetric unit holds Ho at (0.0000, 0.0000, 0.0000), Ho at (0.0000, 0.5000, 0.1034), Tm at (0.0000, 0.2865, 0.3270), Au at (0.0000, 0.0000, 0.2053) and Au at (0.0000, 0.1888, 0.5000).

Its density is 11.51 Mg/m³. For the formation energy, the calculation gives -0.58 eV/atom.

---

Entry 11:
The following is a PBE-GGA calculation of a relaxed HoTmAu crystal, from Alexandria.

It has space group R3m (No. 160, hexagonal axes), with a = 4.9597 Å, b = 4.9597 Å, c = 22.2644 Å, α = 90.00°, β = 90.00° and γ = 120.00°. The asymmetric unit holds Ho at (0.0000, 0.0000, 0.0000), Ho at (0.0000, 0.0000, 0.1628), Tm at (0.0000, 0.0000, 0.5802), Tm at (0.0000, 0.0000, 0.7432), Au at (0.0000, 0.0000, 0.2953) and Au at (0.0000, 0.0000, 0.4469).

Its density is 11.15 Mg/m³. For the formation energy, the calculation gives -0.48 eV/atom. The energy above the lowest structure with this stoichiometry is 176 meV per atom.

---

Entry 12:
The following is a PBE-GGA calculation of a relaxed Ho2TmAu crystal, from Alexandria.

It has space group P4/mmm (No. 123), with a = 4.6825 Å, b = 4.6825 Å, c = 4.6736 Å, α = 90.00°, β = 90.00° and γ = 90.00°. The asymmetric unit holds Ho at (0.0000, 0.5000, 0.0000), Tm at (0.0000, 0.0000, 0.5000) and Au at (0.5000, 0.5000, 0.5000).

Its density is 11.27 Mg/m³. For the formation energy, the calculation gives -0.26 eV/atom. The energy above the lowest structure with this stoichiometry is 201 meV per atom.

---

no.,DOS(E_F) (states/eV/f.u.),final energy (eV per atom)
1,4.54,-4.508
2,3.22,-4.658
3,4.09,-4.673
4,1.68,-4.781
5,6.39,-4.576
6,10.10,-4.676
7,3.00,-4.774
8,2.92,-4.768
9,6.97,-4.750
10,8.73,-4.647
11,2.76,-4.592
12,4.88,-4.483